Record 1
Material: MgInAgHg
Method: DFT, PBE
State: optimized geometry

Crystal system = monoclinic
Calculated volume = 86.1 Å³ per cell
Space-group type = Cm, No. 8
Energy above the lowest structure with this stoichiometry = 0.0 meV per atom

Structure (extended XYZ):
```
4
Lattice="3.238 0.000 0.004 0.000 3.238 -0.004 -0.013 0.013 8.212" Properties=species:S:1:pos:R:3 pbc="T T T"
Hg 2.078 1.160 7.987
In 2.087 1.151 3.955
Mg 0.474 2.765 1.738
Ag 0.462 2.776 5.932
```


Record 2
Material: LiCoS2
Method: DFT, PBE
State: optimized geometry

Crystal system = trigonal
Calculated volume = 59.3 Å³ per cell
Space-group type = R3m, No. 160
Formation energy from raw total energies = -0.69 eV per atom
Energy above the lowest structure with this stoichiometry = 57.0 meV per atom

Structure (extended XYZ):
```
4
Lattice="-1.791 -1.080 2.682 1.201 -2.518 1.945 2.555 2.765 4.976" Properties=species:S:1:pos:R:3 pbc="T T T"
S 2.028 2.005 4.318
S 0.351 -0.411 2.225
Co -0.384 -2.385 3.096
Li 0.954 -0.458 4.765
```


Record 3
Material: AcPt2Au
Method: DFT, PBE
State: optimized geometry

Crystal system = tetragonal
Calculated volume = 84.8 Å³ per cell
Space-group type = P4/mmm, No. 123
Energy above the lowest structure with this stoichiometry = 121.5 meV per atom

Structure (extended XYZ):
```
4
Lattice="4.268 0.000 0.000 0.000 4.458 0.000 0.000 0.000 4.458" Properties=species:S:1:pos:R:3 pbc="T T T"
Pt 0.000 0.000 2.229
Pt 0.000 2.229 0.000
Ac 2.134 2.229 2.229
Au 2.134 0.000 0.000
```


Record 4
Material: NdAs2PbO8
Method: DFT, PBE
State: optimized geometry

Crystal system = trigonal
Calculated volume = 215.3 Å³ per cell
Space-group type = P-3m1, No. 164
Formation energy from raw total energies = -1.58 eV per atom

Structure (extended XYZ):
```
12
Lattice="-2.024 0.314 5.387 4.878 -2.871 -1.083 3.937 6.269 1.114" Properties=species:S:1:pos:R:3 pbc="T T T"
As 1.107 0.573 3.465
As 5.685 3.138 1.953
Pb 0.000 0.000 0.000
O 2.655 0.150 4.074
O 5.529 2.312 3.450
O 0.271 1.554 4.599
O 6.520 2.157 0.819
O 4.140 5.403 4.323
O 4.136 3.561 1.344
O 1.263 1.399 1.968
O 2.652 -1.691 1.095
Nd 1.969 3.134 0.557
```


Record 5
Material: ReIrBr2
Method: DFT, PBE
State: optimized geometry

Crystal system = orthorhombic
Calculated volume = 72.1 Å³ per cell
Space-group type = Pmmm, No. 47
Formation energy from raw total energies = 1.31 eV per atom
Energy above the lowest structure with this stoichiometry = 1058.7 meV per atom

Structure (extended XYZ):
```
4
Lattice="2.922 0.000 0.000 0.000 5.447 0.000 0.000 0.000 4.528" Properties=species:S:1:pos:R:3 pbc="T T T"
Br 1.461 2.724 0.000
Br 0.000 0.000 0.000
Re 0.000 2.724 2.264
Ir 1.461 0.000 2.264
```


Record 6
Material: Er3Ge3Pd
Method: DFT, PBE
State: optimized geometry

Crystal system = hexagonal
Calculated volume = 346.1 Å³ per cell
Space-group type = P6_3/m, No. 176
Energy above the lowest structure with this stoichiometry = 389.0 meV per atom

Structure (extended XYZ):
```
14
Lattice="-0.009 5.610 0.614 -8.413 0.011 -0.228 4.009 -0.799 7.356" Properties=species:S:1:pos:R:3 pbc="T T T"
Ge -6.739 1.190 1.992
Ge -1.773 3.469 7.179
Ge -0.969 3.934 2.937
Ge 2.326 3.632 5.751
Ge -3.444 0.887 4.806
Ge -2.640 1.353 0.563
Er -6.510 3.962 2.599
Er -1.390 0.670 6.821
Er 2.096 0.859 5.144
Er -1.109 1.091 2.980
Er -3.023 4.152 0.921
Er -3.305 3.731 4.762
Pd -4.274 1.143 2.453
Pd -0.139 3.678 5.289
```


Record 7
Material: TlCuTe2I
Method: DFT, PBE
State: optimized geometry

Crystal system = tetragonal
Calculated volume = 206.0 Å³ per cell
Space-group type = P4/mmm, No. 123
Formation energy from raw total energies = 0.84 eV per atom
Energy above the lowest structure with this stoichiometry = 775.6 meV per atom

Structure (extended XYZ):
```
5
Lattice="-1.402 5.243 2.004 -2.580 -2.436 4.569 5.304 0.227 3.116" Properties=species:S:1:pos:R:3 pbc="T T T"
Te -1.290 -1.218 2.284
Te -0.701 2.621 1.002
Cu 0.661 1.517 4.844
Tl 0.000 0.000 0.000
I 2.652 0.114 1.558
```


Record 8
Material: YTaRePd2
Method: DFT, PBE
State: optimized geometry

DFT total energy = -6.17 eV/atom
Crystal system = tetragonal
Calculated volume = 113.8 Å³ per cell
Space-group type = P4/mmm, No. 123

Structure (extended XYZ):
```
5
Lattice="-2.783 -1.327 3.504 -2.512 -3.251 -3.226 3.000 -3.404 1.094" Properties=species:S:1:pos:R:3 pbc="T T T"
Ta -1.256 -1.626 -1.613
Re -1.148 -3.991 0.686
Pd -1.392 -0.663 1.752
Pd 1.500 -1.702 0.547
Y 0.000 0.000 0.000
```


Record 9
Material: HoReClO4
Method: DFT, PBE
State: optimized geometry

Crystal system = monoclinic
Calculated volume = 245.3 Å³ per cell
Space-group type = C2/m, No. 12
Formation energy from raw total energies = -2.16 eV per atom

Structure (extended XYZ):
```
14
Lattice="6.292 0.137 -0.085 2.214 5.891 -0.085 1.636 1.160 6.639" Properties=species:S:1:pos:R:3 pbc="T T T"
Cl 0.431 0.306 1.542
Cl 9.710 6.882 4.926
Ho 3.334 2.363 5.964
Ho 6.808 4.825 0.504
O 6.806 4.824 2.917
O 6.644 6.268 5.551
O 3.336 2.364 3.551
O 4.951 3.509 1.309
O 8.115 4.193 5.551
O 2.026 2.995 0.917
O 3.497 0.920 0.917
O 5.191 3.679 5.158
Re 6.560 4.650 4.644
Re 3.582 2.539 1.824
```


Record 10
Material: LaCuP2
Method: DFT, PBE
State: optimized geometry

DFT total energy = -5.33 eV/atom
Crystal system = orthorhombic
Calculated volume = 77.6 Å³ per cell
Space-group type = Imm2, No. 44

Structure (extended XYZ):
```
4
Lattice="-1.586 4.699 -2.008 -1.746 -0.582 -5.024 -0.990 -1.739 4.962" Properties=species:S:1:pos:R:3 pbc="T T T"
P -2.147 2.541 -0.335
P -3.149 3.890 -6.644
La -2.185 -0.151 -1.754
Cu -1.841 2.274 -3.884
```


Record 11
Material: DyTm12Te7
Method: DFT, PBE
State: optimized geometry

Crystal system = trigonal
Calculated volume = 613.9 Å³ per cell
Space-group type = R-3, No. 148
Formation energy from raw total energies = -0.70 eV per atom

Structure (extended XYZ):
```
20
Lattice="-6.169 6.049 3.176 -1.841 -8.280 3.576 8.398 2.613 2.716" Properties=species:S:1:pos:R:3 pbc="T T T"
Tm 0.670 -4.636 3.644
Tm -1.899 1.870 6.236
Tm -3.626 -2.596 6.269
Tm 0.456 2.804 3.133
Tm -0.067 -2.422 6.334
Tm -2.343 -0.922 3.399
Tm -4.256 2.079 3.575
Tm 4.645 -1.697 5.893
Tm -0.281 5.018 5.824
Tm 4.015 2.978 3.199
Tm 2.732 1.304 6.069
Tm 2.288 -1.488 3.231
Te 0.195 0.191 4.734
Te 2.403 0.970 1.524
Te 2.274 -1.257 7.795
Te 0.703 2.790 7.696
Te -2.014 -0.588 7.944
Te -0.314 -2.408 1.772
Te -1.885 1.639 1.673
Dy 0.000 0.000 0.000
```


Record 12
Material: SrSb2N
Method: DFT, PBE
State: optimized geometry

Crystal system = tetragonal
Calculated volume = 211.3 Å³ per cell
Space-group type = I-42d, No. 122
Formation energy from raw total energies = 0.10 eV per atom

Structure (extended XYZ):
```
8
Lattice="7.277 0.000 0.000 0.000 7.277 0.000 3.639 3.639 3.991" Properties=species:S:1:pos:R:3 pbc="T T T"
Sr 7.277 3.639 1.995
Sr 0.000 0.000 0.000
N 3.639 3.639 0.000
N 3.639 7.277 1.995
Sb 5.458 6.374 2.993
Sb 4.542 1.819 0.998
Sb 2.736 5.458 0.998
Sb 9.096 8.180 2.993
```


Record 13
Material: Tc2SnO8
Method: DFT, PBE
State: optimized geometry

Crystal system = monoclinic
Calculated volume = 211.0 Å³ per cell
Space-group type = C2/m, No. 12
Formation energy from raw total energies = -1.30 eV per atom
Energy above the lowest structure with this stoichiometry = 44.3 meV per atom

Structure (extended XYZ):
```
11
Lattice="5.921 0.283 0.242 1.064 6.319 1.104 1.064 2.070 6.071" Properties=species:S:1:pos:R:3 pbc="T T T"
O 5.962 5.677 4.856
O 2.086 2.995 2.562
O 2.536 6.566 3.086
O 2.536 4.066 6.009
O 5.512 4.606 1.409
O 5.512 2.106 4.332
O 4.015 7.265 6.214
O 4.033 1.407 1.203
Tc 2.310 1.704 1.457
Tc 5.738 6.969 5.961
Sn 0.000 0.000 0.000
```


Record 14
Material: LuVGa2
Method: DFT, PBE
State: optimized geometry

DFT total energy = -5.16 eV/atom
Crystal system = tetragonal
Calculated volume = 70.4 Å³ per cell
Space-group type = P4/mmm, No. 123

Structure (extended XYZ):
```
4
Lattice="-3.081 0.361 1.349 -0.163 -3.338 0.521 2.522 0.744 5.561" Properties=species:S:1:pos:R:3 pbc="T T T"
Ga 0.520 0.153 1.147
Ga 2.002 0.591 4.414
Lu -0.361 -1.116 3.715
V -1.622 -1.488 0.935
```


Record 15
Material: SrAuOF2
Method: DFT, PBE
State: optimized geometry

Crystal system = tetragonal
Calculated volume = 116.4 Å³ per cell
Space-group type = P4/mmm, No. 123
Formation energy from raw total energies = -1.19 eV per atom
Energy above the lowest structure with this stoichiometry = 438.2 meV per atom

Structure (extended XYZ):
```
5
Lattice="-3.444 -1.144 -1.823 -2.685 -1.876 6.251 -1.498 3.745 0.480" Properties=species:S:1:pos:R:3 pbc="T T T"
Sr -1.343 -0.938 3.126
Au 0.000 0.000 0.000
F -1.722 -0.572 -0.911
F -0.749 1.872 0.240
O -3.814 0.362 2.454
```


Record 16
Material: LuThHgPb
Method: DFT, PBE
State: optimized geometry

DFT total energy = -4.25 eV/atom
Crystal system = cubic
Calculated volume = 110.8 Å³ per cell
Space-group type = F-43m, No. 216

Structure (extended XYZ):
```
4
Lattice="-5.254 0.895 0.808 -3.436 -0.190 -4.149 -3.520 -4.063 -0.401" Properties=species:S:1:pos:R:3 pbc="T T T"
Hg -9.157 -2.519 -2.806
Lu -6.105 -1.679 -1.871
Pb -3.052 -0.840 -0.935
Th 0.000 0.000 0.000
```


Record 17
Material: Hg2SeBr2
Method: DFT, PBE
State: optimized geometry

Crystal system = tetragonal
Calculated volume = 153.2 Å³ per cell
Space-group type = I4/mmm, No. 139
Formation energy from raw total energies = 0.21 eV per atom
Energy above the lowest structure with this stoichiometry = 587.3 meV per atom

Structure (extended XYZ):
```
5
Lattice="-2.091 -1.950 4.328 0.596 -4.799 -1.875 4.423 -3.659 3.597" Properties=species:S:1:pos:R:3 pbc="T T T"
Br 0.792 -4.492 4.576
Br 2.136 -5.916 1.475
Se 0.000 0.000 0.000
Hg 2.459 -6.967 4.266
Hg 0.469 -3.442 1.784
```


Record 18
Material: Sm7Ho2Mg
Method: DFT, PBE
State: optimized geometry

DFT total energy = -3.76 eV/atom
Crystal system = orthorhombic
Calculated volume = 393.9 Å³ per cell
Space-group type = Cmmm, No. 65

Structure (extended XYZ):
```
10
Lattice="5.565 0.000 0.000 0.000 9.164 -0.534 0.000 -4.522 7.988" Properties=species:S:1:pos:R:3 pbc="T T T"
Sm 2.783 -0.679 2.265
Sm 0.000 6.198 1.313
Sm 2.783 2.309 7.064
Sm 2.783 2.321 3.727
Sm 2.783 5.320 5.189
Sm 2.783 2.332 0.390
Sm 0.000 -1.556 6.141
Mg 0.000 0.000 0.000
Ho 2.783 5.154 1.963
Ho 2.783 -0.513 5.491
```


Record 19
Material: CaPm8Y5
Method: DFT, PBE
State: optimized geometry

DFT total energy = -4.92 eV/atom
Crystal system = tetragonal
Calculated volume = 496.5 Å³ per cell
Space-group type = I-4, No. 82

Structure (extended XYZ):
```
14
Lattice="8.243 0.000 -2.611 -4.219 6.919 -3.017 0.194 0.000 8.644" Properties=species:S:1:pos:R:3 pbc="T T T"
Y 2.086 0.626 7.311
Y 4.219 0.000 3.017
Y 3.962 4.733 2.064
Y 3.374 6.293 -3.406
Y -0.985 2.185 0.065
Pm -2.438 5.135 1.632
Pm 4.022 2.746 5.069
Pm 1.022 6.390 2.997
Pm -1.787 5.075 -1.927
Pm 1.817 1.844 1.949
Pm 7.385 0.528 3.015
Pm 1.879 4.173 -0.850
Pm 4.975 1.784 0.182
Ca 0.097 3.459 4.322
```


Record 20
Material: AcPr4Au4
Method: DFT, PBE
State: optimized geometry

DFT total energy = -4.60 eV/atom
Crystal system = tetragonal
Calculated volume = 580.9 Å³ per cell
Space-group type = P4_2/n, No. 86

Structure (extended XYZ):
```
18
Lattice="-1.356 -4.084 4.461 -5.769 -4.781 -6.131 7.481 -5.493 -2.755" Properties=species:S:1:pos:R:3 pbc="T T T"
Au -2.587 -8.245 -3.213
Au -1.120 -4.584 -1.047
Au 0.157 -8.453 -6.875
Au -4.361 -7.799 -0.669
Au 3.617 -9.870 -0.140
Au 1.298 -2.595 -1.166
Au 1.733 -9.001 -4.223
Au 2.685 -6.887 -0.367
Pr -1.866 -6.512 -5.771
Pr 3.339 -4.481 -2.329
Pr 1.484 -11.111 -1.868
Pr 1.067 -4.651 1.130
Pr -0.951 -10.426 -4.770
Pr 4.319 -8.191 -2.638
Pr -2.246 -6.612 1.118
Pr -3.725 -5.448 -2.572
Ac 0.178 -7.179 -2.213
Ac 0.000 0.000 0.000
```


Record 21
Material: Ti6CoNi5
Method: DFT, PBE
State: optimized geometry

DFT total energy = -7.32 eV/atom
Crystal system = triclinic
Calculated volume = 162.2 Å³ per cell
Space-group type = P-1, No. 2

Structure (extended XYZ):
```
12
Lattice="4.101 -0.258 0.664 -0.018 5.898 2.427 0.982 0.540 7.114" Properties=species:S:1:pos:R:3 pbc="T T T"
Ti 1.315 2.720 5.936
Ti 1.339 5.766 6.974
Ti 2.013 1.247 1.113
Ti 3.750 3.460 4.269
Ti 3.726 0.414 3.231
Ti 3.052 4.933 9.092
Ni 1.685 4.815 4.510
Ni 3.380 1.365 5.695
Ni 1.698 2.284 3.453
Ni -0.009 2.949 1.213
Ni 3.367 3.896 6.752
Co 0.000 0.000 0.000
```


Record 22
Material: NdTlNi
Method: DFT, PBE
State: optimized geometry

DFT total energy = -4.63 eV/atom
Crystal system = orthorhombic
Calculated volume = 141.1 Å³ per cell
Space-group type = Cmcm, No. 63

Structure (extended XYZ):
```
6
Lattice="-2.355 2.995 -1.972 -3.158 -1.485 1.517 2.434 5.931 6.102" Properties=species:S:1:pos:R:3 pbc="T T T"
Tl -2.998 3.614 2.069
Tl -0.081 3.827 3.577
Ni 0.199 5.527 5.825
Ni -3.278 1.915 -0.178
Nd -0.437 1.668 0.722
Nd -2.642 5.774 4.924
```


Record 23
Material: NbCuNi
Method: DFT, PBE
State: optimized geometry

Crystal system = tetragonal
Calculated volume = 41.1 Å³ per cell
Space-group type = I4mm, No. 107
Energy above the lowest structure with this stoichiometry = 81.8 meV per atom

Structure (extended XYZ):
```
3
Lattice="2.780 0.000 0.000 0.000 2.780 0.000 -1.390 -1.390 5.311" Properties=species:S:1:pos:R:3 pbc="T T T"
Cu 1.390 1.390 5.169
Ni 0.000 0.000 3.631
Nb 1.390 1.390 1.822
```


Record 24
Material: Nb3Ga4Fe2
Method: DFT, PBE
State: optimized geometry

DFT total energy = -6.76 eV/atom
Crystal system = monoclinic
Calculated volume = 138.5 Å³ per cell
Space-group type = C2/m, No. 12

Structure (extended XYZ):
```
9
Lattice="4.082 0.000 0.000 -2.041 4.816 -0.432 0.000 -2.587 7.278" Properties=species:S:1:pos:R:3 pbc="T T T"
Fe 0.000 1.381 4.361
Fe 2.041 0.848 2.485
Ga 2.041 2.637 4.166
Ga 0.000 -0.408 2.680
Ga 0.000 0.413 6.577
Ga 2.041 1.816 0.269
Nb 2.041 -0.265 4.759
Nb 0.000 0.000 0.000
Nb 0.000 2.493 2.087
```